No. 1
The following is a PBE calculation of Al2ReRu3 after structural relaxation, from Alexandria via LeMat-Bulk.

Symmetry: P4/mmm
Crystal system: tetragonal
Volume (Å³ per atom): 13.81
Energy relative to the elements (meV per atom): -446.3
Electronic total energy (eV per atom): -8.41

a = 2.9528 Å, b = 2.9528 Å, c = 9.5002 Å
α = 90.00°, β = 90.00°, γ = 90.00°
Fractional positions:
Ru: 0.0000 0.0000 0.0000
Al: 0.5000 0.5000 0.8451
Ru: 0.0000 0.0000 0.3240
Ru: 0.0000 0.0000 0.6760
Al: 0.5000 0.5000 0.1549
Re: 0.5000 0.5000 0.5000



No. 2
The following is a PBE calculation of HfScTe3 after structural relaxation, from Alexandria via LeMat-Bulk.

Symmetry: C2/m
Crystal system: monoclinic
Volume (Å³ per atom): 28.79
E above lowest polymorph (meV per atom): 0
Energy relative to the elements, uncorrected (meV per atom): -935
Electronic total energy (eV per atom): -6.08

a = 7.0569 Å, b = 7.1039 Å, c = 7.0661 Å
α = 79.97°, β = 69.48°, γ = 60.22°
Fractional positions:
Hf: 0.3321 0.3358 0.5000
Hf: 0.6679 0.6642 0.5000
Te: 0.9104 0.6816 0.7463
Te: 0.0896 0.3184 0.2537
Te: 0.7479 0.0000 0.2500
Sc: 0.8313 0.3373 0.0000
Te: 0.2521 0.0000 0.7500
Sc: 0.1687 0.6627 0.0000
Te: 0.5920 0.3184 0.7463
Te: 0.4080 0.6816 0.2537



No. 3
The following is a PBE calculation of MoRu3 after structural relaxation, from Alexandria via LeMat-Bulk.

Symmetry: Imm2
Crystal system: orthorhombic
Volume (Å³ per atom): 14.34
Energy relative to the elements (meV per atom): -32.0
E above lowest polymorph (meV per atom): 24
Electronic total energy (eV per atom): -9.70

a = 4.7633 Å, b = 5.1560 Å, c = 2.7623 Å
α = 74.46°, β = 90.00°, γ = 117.51°
Fractional positions:
Mo: 0.0027 0.0000 0.0000
Ru: 0.5811 0.4978 0.7511
Ru: 0.0834 0.5022 0.2489
Ru: 0.4995 0.0000 0.5000



No. 4
The following is a PBE calculation of Hf2SiC after structural relaxation, from Alexandria via LeMat-Bulk.

Symmetry: I-42d
Crystal system: tetragonal
Volume (Å³ per atom): 16.64
Energy relative to the elements, uncorrected (meV per atom): -245
Electronic total energy (eV per atom): -8.88

a = 6.4634 Å, b = 6.4634 Å, c = 5.5721 Å
α = 54.55°, β = 54.55°, γ = 90.00°
Fractional positions:
Hf: 0.3750 0.4342 0.7500
C: 0.5000 0.5000 0.0000
Hf: 0.5658 0.1250 0.2500
C: 0.2500 0.7500 0.5000
Hf: 0.1842 0.6250 0.2500
Si: 0.0000 0.0000 0.0000
Si: 0.7500 0.2500 0.5000
Hf: 0.8750 0.8158 0.7500



Q: Which of these has the lowest volume?
A: Al2ReRu3